## Pa2MnCN5 (GGA-PBE)

Data for crystalline Pa2MnCN5 at its relaxed geometry.

## Properties
Formation energy (no corrections): -0.092 eV per atom
Electronic total energy: -8.87 eV/atom
Space-group type: P4/mbm, No. 127

Lattice parameters (Å, degrees): 6.5739 6.5739 5.0517 90.00 90.00 90.00
With the nearest neighbours (Å) after each atom.
Fractional positions:
Pa 0.1837 0.3163 0.0000  8 N 2.28-2.49
Pa 0.3163 0.8163 0.0000  8 N 2.28-2.49
Pa 0.6837 0.1837 0.0000  8 N 2.28-2.49
Pa 0.8163 0.6837 0.0000  8 N 2.28-2.49
Mn 0.0000 0.0000 0.5000  2 N 2.53
Mn 0.5000 0.5000 0.5000  2 N 2.53
C 0.0000 0.5000 0.5000  4 N 1.61
C 0.5000 0.0000 0.5000  4 N 1.61
N 0.0000 0.0000 0.0000  4 Pa 2.40, 2 Mn 2.53
N 0.1231 0.6231 0.2772  1 C 1.61
N 0.1231 0.6231 0.7228  1 C 1.61
N 0.3769 0.1231 0.2772  1 C 1.61
N 0.3769 0.1231 0.7228  1 C 1.61
N 0.5000 0.5000 0.0000  4 Pa 2.40, 2 Mn 2.53
N 0.6231 0.8769 0.2772  1 C 1.61
N 0.6231 0.8769 0.7228  1 C 1.61
N 0.8769 0.3769 0.2772  1 C 1.61
N 0.8769 0.3769 0.7228  1 C 1.61


## NiAu2Cl (GGA-PBE)

Data for crystalline NiAu2Cl at its relaxed geometry.

## Properties
Formation energy (no corrections): 0.234 eV per atom
Distance to the lowest polymorph of the same formula: 189 meV/atom
Electronic total energy: -3.31 eV/atom
Space-group type: Imm2, No. 44

Lattice parameters (Å, degrees): 5.5700 5.5700 5.5700 149.79 122.28 66.53
With the nearest neighbours (Å) after each atom.
Fractional positions:
Ni 0.0000 0.0000 0.0000  2 Cl 2.18
Au 0.2262 0.7262 0.5000  2 Ni 2.56
Au 0.5062 0.5062 0.0000  4 Au 2.90-2.98, 4 Ni 3.06, 2 Cl 3.17
Cl 0.8258 0.3258 0.5000  2 Ni 2.18


## DyPa4Ge5 (GGA-PBE)

Data for crystalline DyPa4Ge5 at its relaxed geometry.

## Properties
ΔH_f (0 K): -0.512 eV per atom
Electronic total energy: -7.08 eV/atom
Space-group type: Immm, No. 71

Lattice parameters (Å, degrees): 10.9329 10.9329 10.9329 158.13 148.96 38.29
With the nearest neighbours (Å) after each atom.
Fractional positions:
Dy 0.0000 0.0000 0.0000  6 Ge 2.93-2.95
Pa 0.1995 0.1995 0.0000  6 Ge 2.89-2.94
Pa 0.4006 0.4006 0.0000  6 Ge 2.92-2.93
Pa 0.5994 0.5994 0.0000  6 Ge 2.92-2.93
Pa 0.8005 0.8005 0.0000  6 Ge 2.89-2.94
Ge 0.1017 0.6017 0.5000  4 Pa 2.89-2.93, 2 Dy 2.95
Ge 0.3004 0.8004 0.5000  6 Pa 2.93-2.94
Ge 0.5000 0.0000 0.5000  4 Pa 2.92, 2 Dy 2.93
Ge 0.6996 0.1996 0.5000  6 Pa 2.93-2.94
Ge 0.8983 0.3983 0.5000  4 Pa 2.89-2.93, 2 Dy 2.95


## LiCeInIr (GGA-PBE)

Data for crystalline LiCeInIr at its relaxed geometry.

## Properties
ΔH_f (0 K): -0.456 eV per atom
Electronic total energy: -5.32 eV/atom
Space-group type: F-43m, No. 216

Lattice parameters (Å, degrees): 4.8064 4.8064 4.8064 60.00 60.00 60.00
With the nearest neighbours (Å) after each atom.
Fractional positions:
Li 0.0000 0.0000 0.0000  4 In 2.94, 4 Ce 2.94
Ce 0.7500 0.7500 0.7500  4 Li 2.94, 4 Ir 2.94
In 0.2500 0.2500 0.2500  4 Ir 2.94, 4 Li 2.94
Ir 0.5000 0.5000 0.5000  4 Ce 2.94, 4 In 2.94


## SrTiP2O8 (GGA-PBE)

Data for crystalline SrTiP2O8 at its relaxed geometry.

## Properties
Formation energy (no corrections): -2.716 eV per atom
Electronic total energy: -7.72 eV/atom
Space-group type: C2/c, No. 15

Lattice parameters (Å, degrees): 8.7922 8.7922 8.2892 115.80 115.80 34.59
With the nearest neighbours (Å) after each atom.
Fractional positions:
Sr 0.1813 0.8187 0.7500  8 O 2.66-2.73
Sr 0.8187 0.1813 0.2500  8 O 2.66-2.73
Ti 0.0000 0.5000 0.5000  6 O 1.89-2.01
Ti 0.5000 0.0000 0.0000  6 O 1.89-2.01
P 0.1206 0.5960 0.2478  4 O 1.52-1.57
P 0.4040 0.8794 0.2522  4 O 1.52-1.57
P 0.5960 0.1206 0.7478  4 O 1.52-1.57
P 0.8794 0.4040 0.7522  4 O 1.52-1.57
O 0.0544 0.5176 0.3146  1 P 1.55
O 0.1251 0.2062 0.8943  1 P 1.57
O 0.1697 0.7351 0.3983  1 P 1.52
O 0.2062 0.1251 0.3943  1 P 1.57
O 0.2649 0.8303 0.1017  1 P 1.52
O 0.3317 0.3764 0.6512  1 P 1.56
O 0.3764 0.3317 0.1512  1 P 1.56
O 0.4824 0.9456 0.1854  1 P 1.55
O 0.5176 0.0544 0.8146  1 P 1.55
O 0.6236 0.6683 0.8488  1 P 1.56
O 0.6683 0.6236 0.3488  1 P 1.56
O 0.7351 0.1697 0.8983  1 P 1.52
O 0.7938 0.8749 0.6057  1 P 1.57
O 0.8303 0.2649 0.6017  1 P 1.52
O 0.8749 0.7938 0.1057  1 P 1.57
O 0.9456 0.4824 0.6854  1 P 1.55


## CoRu2W (GGA-PBE)

Data for crystalline CoRu2W at its relaxed geometry.

## Properties
ΔH_f (0 K): 0.100 eV per atom
Distance to the lowest polymorph of the same formula: 126 meV/atom
Electronic total energy: -9.55 eV/atom
Space-group type: Pmmm, No. 47

Lattice parameters (Å, degrees): 2.7414 3.6983 5.4594 90.00 90.00 90.00
With the nearest neighbours (Å) after each atom.
Fractional positions:
Co 0.0000 0.0000 0.0000  8 Ru 2.63, 2 W 2.73, 2 Co 2.74
Ru 0.5000 0.5000 0.2345  3 Ru 2.56-2.74, 4 Co 2.63, 4 W 2.72
Ru 0.5000 0.5000 0.7655  3 Ru 2.56-2.74, 4 Co 2.63, 4 W 2.72
W 0.0000 0.0000 0.5000  8 Ru 2.72, 2 Co 2.73, 2 W 2.74


## TaBiAs2N (GGA-PBE)

Data for crystalline TaBiAs2N at its relaxed geometry.

## Properties
Formation energy (no corrections): 1.258 eV per atom
Electronic total energy: -5.41 eV/atom
Space-group type: P4/mmm, No. 123

Lattice parameters (Å, degrees): 4.9396 4.9396 5.5889 90.00 90.00 90.00
With the nearest neighbours (Å) after each atom.
Fractional positions:
Ta 0.0000 0.0000 0.0000  4 As 2.47
Bi 0.0000 0.0000 0.5000  2 Ta 2.79
As 0.0000 0.5000 0.0000  2 Ta 2.47
As 0.5000 0.0000 0.0000  2 Ta 2.47
N 0.5000 0.5000 0.5000  4 Bi 3.49, 8 As 3.73


## DyY2Sc3 (GGA-PBE)

Data for crystalline DyY2Sc3 at its relaxed geometry.

## Properties
ΔH_f (0 K): 0.241 eV per atom
Distance to the lowest polymorph of the same formula: 24 meV/atom
Electronic total energy: -5.85 eV/atom
Space-group type: P-3m1, No. 164

Lattice parameters (Å, degrees): 6.3339 6.3339 10.2789 90.00 90.00 120.00
With the nearest neighbours (Å) after each atom.
Fractional positions:
Dy 0.3333 0.6667 0.4390  9 Sc 3.65-3.72, 4 Y 3.71-3.87, 3 Dy 3.87
Dy 0.6667 0.3333 0.5610  9 Sc 3.65-3.72, 4 Y 3.71-3.87, 3 Dy 3.87
Y 0.0000 0.0000 0.0000  6 Sc 3.19
Y 0.0000 0.0000 0.5000  6 Sc 3.19
Y 0.3333 0.6667 0.0626  9 Sc 3.67-3.71, 6 Y 3.71-3.88, 1 Dy 3.87
Y 0.6667 0.3333 0.9374  9 Sc 3.67-3.71, 6 Y 3.71-3.88, 1 Dy 3.87
Sc 0.1722 0.3443 0.7498  4 Sc 3.06-3.27, 2 Y 3.19
Sc 0.1722 0.8278 0.7498  4 Sc 3.06-3.27, 2 Y 3.19
Sc 0.3443 0.1722 0.2502  4 Sc 3.06-3.27, 2 Y 3.19
Sc 0.6557 0.8278 0.7498  4 Sc 3.06-3.27, 2 Y 3.19
Sc 0.8278 0.1722 0.2502  4 Sc 3.06-3.27, 2 Y 3.19
Sc 0.8278 0.6557 0.2502  4 Sc 3.06-3.27, 2 Y 3.19


For the records above, the corresponding ρ values read 9.1 11.1 9.6 9.6 3.3 13.3 6.7 4.4 g/cm³.